Er4In5S13 | GGA-PBE | relaxed

Crystal system: orthorhombic
V: 977.2 Å³/cell
SG: Pbam
VASP energy: -222.9 eV/cell

a = 11.8895 Å, b = 21.4457 Å, c = 3.8323 Å
α = 90.00°, β = 90.00°, γ = 90.00°
Element x y z (fractional)
Er  0.0183  0.1757  0.0000
Er  0.1807  0.3396  0.0000
Er  0.3193  0.8396  0.0000
Er  0.4817  0.6757  0.0000
Er  0.5183  0.3243  0.0000
Er  0.6807  0.1604  0.0000
Er  0.8193  0.6604  0.0000
Er  0.9817  0.8243  0.0000
In  0.0000  0.5000  0.0000
In  0.1532  0.9922  0.5000
In  0.1591  0.6669  0.5000
In  0.3409  0.1669  0.5000
In  0.3468  0.4922  0.5000
In  0.5000  0.0000  0.0000
In  0.6532  0.5078  0.5000
In  0.6591  0.8331  0.5000
In  0.8409  0.3331  0.5000
In  0.8468  0.0078  0.5000
S  0.0000  0.0000  0.0000
S  0.0037  0.4072  0.5000
S  0.0876  0.2630  0.5000
S  0.1461  0.8634  0.5000
S  0.1516  0.1156  0.5000
S  0.1630  0.7402  0.0000
S  0.2045  0.4712  0.0000
S  0.2955  0.9712  0.0000
S  0.3370  0.2402  0.0000
S  0.3484  0.6156  0.5000
S  0.3539  0.3634  0.5000
S  0.4124  0.7630  0.5000
S  0.4963  0.9072  0.5000
S  0.5000  0.5000  0.0000
S  0.5037  0.0928  0.5000
S  0.5876  0.2370  0.5000
S  0.6461  0.6366  0.5000
S  0.6516  0.3844  0.5000
S  0.6630  0.7598  0.0000
S  0.7045  0.0288  0.0000
S  0.7955  0.5288  0.0000
S  0.8370  0.2598  0.0000
S  0.8484  0.8844  0.5000
S  0.8539  0.1366  0.5000
S  0.9124  0.7370  0.5000
S  0.9963  0.5928  0.5000